[1]
Below is a relaxed structure of DyCu2Rh, with properties calculated at the PBE-GGA level.

**Formation energy from the elements**: -277 meV per atom

Cell lengths 4.9778, 4.9778, 4.9778 Å; angles 51.21, 51.21, 51.21 degrees
With the nearest neighbours (Å) after each atom.
Fractional positions:
Dy: 0.0000 0.0000 0.0000  8 Cu 2.73-2.95
Cu: 0.2111 0.2111 0.2111  3 Rh 2.55, 1 Dy 2.73, 3 Cu 2.74
Cu: 0.7889 0.7889 0.7889  3 Rh 2.55, 1 Dy 2.73, 3 Cu 2.74
Rh: 0.5000 0.5000 0.5000  6 Cu 2.55



[2]
Below is a relaxed structure of Dy4Cu3Rh, with properties calculated at the PBE-GGA level.

**Formation energy from the elements**: -433 meV per atom

Cell lengths 3.7377, 4.4220, 10.4141 Å; angles 90.00, 90.00, 90.00 degrees
With the nearest neighbours (Å) after each atom.
Fractional positions:
Dy: 0.0000 0.0000 0.0000  2 Rh 2.93, 5 Cu 2.96-3.06
Dy: 0.0000 0.5000 0.2727  3 Cu 2.92-3.03, 4 Rh 2.95
Dy: 0.5000 0.0000 0.4894  1 Rh 2.84, 6 Cu 2.93-3.00
Dy: 0.5000 0.5000 0.7754  7 Cu 2.89-2.98
Cu: 0.0000 0.0000 0.7060  2 Cu 2.66, 2 Dy 2.93
Cu: 0.0000 0.5000 0.5638  2 Cu 2.66, 2 Dy 2.89
Cu: 0.5000 0.5000 0.0575  2 Rh 2.76, 7 Dy 2.92-2.96
Rh: 0.5000 0.0000 0.2162  2 Cu 2.76, 7 Dy 2.84-2.95



[3]
Below is a relaxed structure of Dy4CuRh2, with properties calculated at the PBE-GGA level.

**Formation energy from the elements**: -577 meV per atom

Cell lengths 8.3924, 8.3924, 8.3924 Å; angles 33.52, 33.52, 33.52 degrees
With the nearest neighbours (Å) after each atom.
Fractional positions:
Dy: 0.1234 0.1234 0.1234  4 Rh 2.94-2.98, 3 Cu 2.98
Dy: 0.3740 0.3740 0.3740  4 Rh 2.97-2.98, 1 Cu 2.99
Dy: 0.6260 0.6260 0.6260  4 Rh 2.97-2.98, 1 Cu 2.99
Dy: 0.8766 0.8766 0.8766  4 Rh 2.94-2.98, 3 Cu 2.98
Cu: 0.5000 0.5000 0.5000  8 Dy 2.98-2.99
Rh: 0.2487 0.2487 0.2487  8 Dy 2.94-2.98
Rh: 0.7513 0.7513 0.7513  8 Dy 2.94-2.98



[4]
Below is a relaxed structure of Dy2CuRh3, with properties calculated at the PBE-GGA level.

**Formation energy from the elements**: -655 meV per atom

Cell lengths 5.1730, 5.1730, 5.1730 Å; angles 63.56, 63.56, 63.56 degrees
With the nearest neighbours (Å) after each atom.
Fractional positions:
Dy: 0.1278 0.1278 0.1278  9 Rh 2.98-3.15, 4 Dy 3.15-3.29, 3 Cu 3.18
Dy: 0.8722 0.8722 0.8722  9 Rh 2.98-3.15, 4 Dy 3.15-3.29, 3 Cu 3.18
Cu: 0.5000 0.5000 0.5000  6 Rh 2.59
Rh: 0.0000 0.5000 0.5000  2 Cu 2.59, 4 Rh 2.72
Rh: 0.5000 0.0000 0.5000  2 Cu 2.59, 4 Rh 2.72
Rh: 0.5000 0.5000 0.0000  2 Cu 2.59, 4 Rh 2.72



[5]
Below is a relaxed structure of Dy2Cu2SbRh5, with properties calculated at the PBE-GGA level.

**E_form (uncorrected)**: -0.561 eV per atom

Cell lengths 9.3945, 9.3945, 3.8104 Å; angles 90.00, 90.00, 90.00 degrees
With the nearest neighbours (Å) after each atom.
Fractional positions:
Dy: 0.1732 0.3268 0.0000  3 Cu 2.71-2.82, 2 Rh 2.99
Dy: 0.3268 0.8268 0.0000  3 Cu 2.71-2.82, 2 Rh 2.99
Dy: 0.6732 0.1732 0.0000  3 Cu 2.71-2.82, 2 Rh 2.99
Dy: 0.8268 0.6732 0.0000  3 Cu 2.71-2.82, 2 Rh 2.99
Cu: 0.1229 0.6229 0.0000  6 Rh 2.51-2.53, 1 Dy 2.71
Cu: 0.3771 0.1229 0.0000  6 Rh 2.51-2.53, 1 Dy 2.71
Cu: 0.6229 0.8771 0.0000  6 Rh 2.51-2.53, 1 Dy 2.71
Cu: 0.8771 0.3771 0.0000  6 Rh 2.51-2.53, 1 Dy 2.71
Sb: 0.0000 0.0000 0.0000  8 Rh 2.81
Sb: 0.5000 0.5000 0.0000  8 Rh 2.81
Rh: 0.0000 0.5000 0.5000  4 Cu 2.51
Rh: 0.0701 0.7920 0.5000  2 Cu 2.53, 2 Sb 2.81, 1 Rh 2.82
Rh: 0.2080 0.0701 0.5000  2 Cu 2.53, 2 Sb 2.81, 1 Rh 2.82
Rh: 0.2920 0.5701 0.5000  2 Cu 2.53, 2 Sb 2.81, 1 Rh 2.82
Rh: 0.4299 0.2920 0.5000  2 Cu 2.53, 2 Sb 2.81, 1 Rh 2.82
Rh: 0.5000 0.0000 0.5000  4 Cu 2.51
Rh: 0.5701 0.7080 0.5000  2 Cu 2.53, 2 Sb 2.81, 1 Rh 2.82
Rh: 0.7080 0.4299 0.5000  2 Cu 2.53, 2 Sb 2.81, 1 Rh 2.82
Rh: 0.7920 0.9299 0.5000  2 Cu 2.53, 2 Sb 2.81, 1 Rh 2.82
Rh: 0.9299 0.2080 0.5000  2 Cu 2.53, 2 Sb 2.81, 1 Rh 2.82



[6]
Below is a relaxed structure of DyCuSb2Rh4, with properties calculated at the PBE-GGA level.

**E_form (uncorrected)**: -0.507 eV per atom

Cell lengths 8.3760, 8.3760, 8.3760 Å; angles 30.95, 30.95, 30.95 degrees
With the nearest neighbours (Å) after each atom.
Fractional positions:
Dy: 0.0000 0.0000 0.0000  8 Rh 2.98-3.10
Cu: 0.5000 0.5000 0.5000  8 Rh 2.50-2.73
Sb: 0.2442 0.2442 0.2442  7 Rh 2.66-2.76
Sb: 0.7558 0.7558 0.7558  7 Rh 2.66-2.76
Rh: 0.1296 0.1296 0.1296  3 Cu 2.73, 4 Sb 2.74-2.76, 3 Rh 3.05
Rh: 0.3953 0.3953 0.3953  1 Cu 2.50, 3 Sb 2.66
Rh: 0.6047 0.6047 0.6047  1 Cu 2.50, 3 Sb 2.66
Rh: 0.8704 0.8704 0.8704  3 Cu 2.73, 4 Sb 2.74-2.76, 3 Rh 3.05



[7]
Below is a relaxed structure of DyScCuRh, with properties calculated at the PBE-GGA level.

**Formation energy from the elements**: -574 meV per atom

Cell lengths 4.7470, 4.7470, 4.7470 Å; angles 60.00, 60.00, 60.00 degrees
With the nearest neighbours (Å) after each atom.
Fractional positions:
Dy: 0.0000 0.0000 0.0000  4 Rh 2.91, 4 Cu 2.91
Sc: 0.5000 0.5000 0.5000  4 Cu 2.91, 4 Rh 2.91
Cu: 0.7500 0.7500 0.7500  4 Sc 2.91, 4 Dy 2.91
Rh: 0.2500 0.2500 0.2500  4 Sc 2.91, 4 Dy 2.91



[8]
Below is a relaxed structure of DyCuSi2Rh, with properties calculated at the PBE-GGA level.

**E_form (uncorrected)**: -0.810 eV per atom

Cell lengths 5.7311, 5.7311, 5.7311 Å; angles 138.69, 138.69, 59.85 degrees
With the nearest neighbours (Å) after each atom.
Fractional positions:
Dy: 0.0000 0.0000 0.0000  8 Si 3.09, 4 Cu 3.20, 4 Rh 3.20
Cu: 0.2500 0.7500 0.5000  4 Si 2.40
Si: 0.3810 0.3810 0.0000  1 Si 2.36, 2 Rh 2.40, 2 Cu 2.40
Si: 0.6190 0.6190 0.0000  1 Si 2.36, 2 Cu 2.40, 2 Rh 2.40
Rh: 0.7500 0.2500 0.5000  4 Si 2.40



[9]
Below is a relaxed structure of SmDyCuRh, with properties calculated at the PBE-GGA level.

**Formation energy from the elements**: -544 meV per atom

Cell lengths 4.4071, 5.5743, 5.5743 Å; angles 40.12, 90.00, 90.00 degrees
With the nearest neighbours (Å) after each atom.
Fractional positions:
Sm: 0.0000 0.0000 0.0000  3 Rh 2.90-3.02, 4 Cu 3.00
Dy: 0.5000 0.7225 0.7225  3 Cu 2.92-3.03, 4 Rh 2.97
Cu: 0.5000 0.4329 0.4329  2 Rh 2.74, 3 Dy 2.92-3.03, 4 Sm 3.00
Rh: 0.0000 0.2772 0.2772  2 Cu 2.74, 3 Sm 2.90-3.02, 4 Dy 2.97



[10]
Below is a relaxed structure of SmDyCuRh, with properties calculated at the PBE-GGA level.

**Formation energy from the elements**: -511 meV per atom

Cell lengths 4.9336, 4.9336, 4.9336 Å; angles 60.00, 60.00, 60.00 degrees
With the nearest neighbours (Å) after each atom.
Fractional positions:
Sm: 0.0000 0.0000 0.0000  4 Cu 3.02, 4 Rh 3.02
Dy: 0.5000 0.5000 0.5000  4 Cu 3.02, 4 Rh 3.02
Cu: 0.7500 0.7500 0.7500  4 Sm 3.02, 4 Dy 3.02
Rh: 0.2500 0.2500 0.2500  4 Dy 3.02, 4 Sm 3.02



[11]
Below is a relaxed structure of DyCuSn2Rh4, with properties calculated at the PBE-GGA level.

**Formation energy from the elements**: -562 meV per atom

Cell lengths 8.0122, 8.0122, 8.0122 Å; angles 32.83, 32.83, 32.83 degrees
With the nearest neighbours (Å) after each atom.
Fractional positions:
Dy: 0.0000 0.0000 0.0000  8 Rh 2.86-2.88
Cu: 0.5000 0.5000 0.5000  8 Rh 2.63-2.77
Sn: 0.2450 0.2450 0.2450  7 Rh 2.69-2.76
Sn: 0.7550 0.7550 0.7550  7 Rh 2.69-2.76
Rh: 0.1267 0.1267 0.1267  4 Sn 2.69-2.76, 3 Cu 2.77, 1 Dy 2.88
Rh: 0.3840 0.3840 0.3840  1 Cu 2.63, 3 Sn 2.75, 3 Dy 2.86
Rh: 0.6160 0.6160 0.6160  1 Cu 2.63, 3 Sn 2.75, 3 Dy 2.86
Rh: 0.8733 0.8733 0.8733  4 Sn 2.69-2.76, 3 Cu 2.77, 1 Dy 2.88



[12]
Below is a relaxed structure of DyCuSnRh, with properties calculated at the PBE-GGA level.

**Formation energy from the elements**: -545 meV per atom

Cell lengths 4.7160, 4.7160, 4.7160 Å; angles 60.00, 60.00, 60.00 degrees
With the nearest neighbours (Å) after each atom.
Fractional positions:
Dy: 0.0000 0.0000 0.0000  4 Rh 2.89, 4 Cu 2.89
Cu: 0.7500 0.7500 0.7500  4 Dy 2.89, 4 Sn 2.89
Sn: 0.5000 0.5000 0.5000  4 Cu 2.89, 4 Rh 2.89
Rh: 0.2500 0.2500 0.2500  4 Sn 2.89, 4 Dy 2.89



[13]
Below is a relaxed structure of DyTiCuRh, with properties calculated at the PBE-GGA level.

**Formation energy from the elements**: -356 meV per atom

Cell lengths 4.6447, 4.6447, 4.6447 Å; angles 60.00, 60.00, 60.00 degrees
With the nearest neighbours (Å) after each atom.
Fractional positions:
Dy: 0.0000 0.0000 0.0000  4 Cu 2.84, 4 Rh 2.84
Ti: 0.5000 0.5000 0.5000  4 Rh 2.84, 4 Cu 2.84
Cu: 0.2500 0.2500 0.2500  4 Dy 2.84, 4 Ti 2.84
Rh: 0.7500 0.7500 0.7500  4 Dy 2.84, 4 Ti 2.84



[14]
Below is a relaxed structure of DyTmCuRh, with properties calculated at the PBE-GGA level.

**Formation energy from the elements**: -593 meV per atom

Cell lengths 4.8488, 4.8488, 4.8488 Å; angles 60.00, 60.00, 60.00 degrees
With the nearest neighbours (Å) after each atom.
Fractional positions:
Dy: 0.0000 0.0000 0.0000  4 Rh 2.97, 4 Cu 2.97
Tm: 0.5000 0.5000 0.5000  4 Cu 2.97, 4 Rh 2.97
Cu: 0.7500 0.7500 0.7500  4 Tm 2.97, 4 Dy 2.97
Rh: 0.2500 0.2500 0.2500  4 Tm 2.97, 4 Dy 2.97



[15]
Below is a relaxed structure of DyTmCuRh, with properties calculated at the PBE-GGA level.

**Formation energy from the elements**: -606 meV per atom

Cell lengths 4.3633, 5.4832, 5.4832 Å; angles 39.77, 90.00, 90.00 degrees
With the nearest neighbours (Å) after each atom.
Fractional positions:
Dy: 0.0000 0.0000 0.0000  3 Rh 2.86-2.96, 4 Cu 2.95
Tm: 0.5000 0.7215 0.7215  3 Cu 2.88-2.96, 4 Rh 2.93
Cu: 0.5000 0.4349 0.4349  2 Rh 2.72, 3 Tm 2.88-2.96, 4 Dy 2.95
Rh: 0.0000 0.2772 0.2772  2 Cu 2.72, 3 Dy 2.86-2.96, 4 Tm 2.93



[16]
Below is a relaxed structure of DyYCuRh, with properties calculated at the PBE-GGA level.

**Formation energy from the elements**: -556 meV per atom

Cell lengths 4.8901, 4.8901, 4.8901 Å; angles 60.00, 60.00, 60.00 degrees
With the nearest neighbours (Å) after each atom.
Fractional positions:
Dy: 0.0000 0.0000 0.0000  4 Cu 2.99, 4 Rh 2.99
Y: 0.5000 0.5000 0.5000  4 Rh 2.99, 4 Cu 2.99
Cu: 0.2500 0.2500 0.2500  4 Dy 2.99, 4 Y 2.99
Rh: 0.7500 0.7500 0.7500  4 Dy 2.99, 4 Y 2.99



[17]
Below is a relaxed structure of DyYCuRh, with properties calculated at the PBE-GGA level.

**Formation energy from the elements**: -581 meV per atom

Cell lengths 4.3566, 5.5454, 5.5454 Å; angles 40.03, 90.00, 90.00 degrees
With the nearest neighbours (Å) after each atom.
Fractional positions:
Dy: 0.0000 0.0000 0.0000  3 Cu 2.91-3.00, 4 Rh 2.95
Y: 0.5000 0.2780 0.2780  3 Rh 2.90-2.99, 4 Cu 2.97
Cu: 0.0000 0.7123 0.7123  2 Rh 2.71, 3 Dy 2.91-3.00, 4 Y 2.97
Rh: 0.5000 0.5568 0.5568  2 Cu 2.71, 3 Y 2.90-2.99, 4 Dy 2.95



[18]
Below is a relaxed structure of Dy2Zn2Cu5Rh, with properties calculated at the PBE-GGA level.

**Formation energy from the elements**: -120 meV per atom

Cell lengths 9.4262, 9.4262, 3.6547 Å; angles 90.00, 90.00, 90.00 degrees
With the nearest neighbours (Å) after each atom.
Fractional positions:
Dy: 0.1814 0.3186 0.0000  3 Zn 2.69-2.88
Dy: 0.3186 0.8186 0.0000  3 Zn 2.69-2.88
Dy: 0.6814 0.1814 0.0000  3 Zn 2.69-2.88
Dy: 0.8186 0.6814 0.0000  3 Zn 2.69-2.88
Zn: 0.1171 0.6171 0.0000  6 Cu 2.40-2.62, 1 Dy 2.69
Zn: 0.3829 0.1171 0.0000  6 Cu 2.40-2.62, 1 Dy 2.69
Zn: 0.6171 0.8829 0.0000  6 Cu 2.40-2.62, 1 Dy 2.69
Zn: 0.8829 0.3829 0.0000  6 Cu 2.40-2.62, 1 Dy 2.69
Cu: 0.0000 0.5000 0.5000  4 Zn 2.40
Cu: 0.0494 0.8046 0.5000  2 Zn 2.62, 2 Rh 2.64, 3 Cu 2.69-2.91
Cu: 0.1954 0.0494 0.5000  2 Zn 2.62, 2 Rh 2.64, 3 Cu 2.69-2.91
Cu: 0.3046 0.5494 0.5000  2 Zn 2.62, 2 Rh 2.64, 3 Cu 2.69-2.91
Cu: 0.4506 0.3046 0.5000  2 Zn 2.62, 2 Rh 2.64, 3 Cu 2.69-2.91
Cu: 0.5000 0.0000 0.5000  4 Zn 2.40
Cu: 0.5494 0.6954 0.5000  2 Zn 2.62, 2 Rh 2.64, 3 Cu 2.69-2.91
Cu: 0.6954 0.4506 0.5000  2 Zn 2.62, 2 Rh 2.64, 3 Cu 2.69-2.91
Cu: 0.8046 0.9506 0.5000  2 Zn 2.62, 2 Rh 2.64, 3 Cu 2.69-2.91
Cu: 0.9506 0.1954 0.5000  2 Zn 2.62, 2 Rh 2.64, 3 Cu 2.69-2.91
Rh: 0.0000 0.0000 0.0000  8 Cu 2.64
Rh: 0.5000 0.5000 0.0000  8 Cu 2.64



[19]
Below is a relaxed structure of DyZrCuRh, with properties calculated at the PBE-GGA level.

**Formation energy from the elements**: -459 meV per atom

Cell lengths 4.7683, 4.7683, 4.7683 Å; angles 60.00, 60.00, 60.00 degrees
With the nearest neighbours (Å) after each atom.
Fractional positions:
Dy: 0.0000 0.0000 0.0000  4 Rh 2.92, 4 Cu 2.92
Zr: 0.5000 0.5000 0.5000  4 Cu 2.92, 4 Rh 2.92
Cu: 0.7500 0.7500 0.7500  4 Zr 2.92, 4 Dy 2.92
Rh: 0.2500 0.2500 0.2500  4 Zr 2.92, 4 Dy 2.92



[20]
Below is a relaxed structure of Dy2CuRu3, with properties calculated at the PBE-GGA level.

**Formation energy from the elements**: -293 meV per atom

Cell lengths 5.2913, 5.2913, 5.3193 Å; angles 119.86, 119.86, 60.03 degrees
With the nearest neighbours (Å) after each atom.
Fractional positions:
Dy: 0.1221 0.1221 0.3670  9 Ru 3.09-3.15, 3 Cu 3.11, 4 Dy 3.19-3.27
Dy: 0.8779 0.8779 0.6330  9 Ru 3.09-3.15, 3 Cu 3.11, 4 Dy 3.19-3.27
Cu: 0.5000 0.5000 0.5000  6 Ru 2.66
Ru: 0.0000 0.5000 0.0000  4 Ru 2.65, 2 Cu 2.66
Ru: 0.5000 0.0000 0.0000  4 Ru 2.65, 2 Cu 2.66
Ru: 0.5000 0.5000 0.0000  4 Ru 2.65, 2 Cu 2.66



Number 1: VASP energy -5.31 eV per atom. Number 2: VASP energy -5.19 eV per atom. Number 3: VASP energy -5.89 eV per atom. Number 4: VASP energy -6.55 eV per atom. Number 5: VASP energy -6.39 eV per atom. Number 6: VASP energy -6.30 eV per atom. Number 7: VASP energy -6.17 eV per atom. Number 8: VASP energy -6.19 eV per atom. Number 9: VASP energy -5.74 eV per atom. Number 10: VASP energy -5.70 eV per atom. Number 11: VASP energy -6.33 eV per atom. Number 12: VASP energy -5.56 eV per atom. Number 13: VASP energy -6.34 eV per atom. Number 14: VASP energy -5.72 eV per atom. Number 15: VASP energy -5.74 eV per atom. Number 16: VASP energy -6.18 eV per atom. Number 17: VASP energy -6.21 eV per atom. Number 18: VASP energy -4.08 eV per atom. Number 19: VASP energy -6.61 eV per atom. Number 20: VASP energy -7.15 eV per atom.